Below is a relaxed LiTlAs3 crystal, with properties calculated at the PBE level.

The structure in extended XYZ format:
```
20
Lattice="10.855 0.000 0.000 0.000 9.457 0.000 0.000 0.000 5.229" Properties=species:S:1:pos:R:3 pbc="T T T"
Li 0.291 2.364 1.307
Li 5.136 7.093 1.307
Li 5.718 2.364 3.922
Li 10.564 7.093 3.922
Tl 2.714 0.000 3.013
Tl 2.714 4.728 4.831
Tl 8.141 0.000 2.216
Tl 8.141 4.728 0.398
As 0.798 2.364 3.922
As 0.862 5.449 2.138
As 0.862 8.736 0.477
As 4.565 0.721 0.477
As 4.565 4.007 2.138
As 4.629 7.093 3.922
As 6.226 2.364 1.307
As 6.289 5.449 3.091
As 6.289 8.736 4.752
As 9.993 0.721 4.752
As 9.993 4.007 3.091
As 10.057 7.093 1.307
```

Properties
Spin magnetization, μB/cell: 0.0
E_tot, eV/cell: -75.26
E above lowest polymorph, eV/f.u.: 0.000
ΔH_f (0 K), meV per atom: -117.5